No. 1
Compound: Li2ReH5
Source: Alexandria
Functional: PBE
Structure: optimized geometry

E = -4.2510 eV/atom
calculated volume = 7.4 A^3/atom
symmetry = P1

Lattice parameters (Å, degrees): 5.4852 5.4586 3.5443 108.92 70.14 54.54
Atoms (fractional coordinates):
Li 0.6917 0.5406 0.8611
Li 0.4014 0.2448 0.8241
Re 0.0629 0.9115 0.8604
H 0.5098 0.3613 0.2790
H 0.9922 0.2847 0.0081
H 0.0226 0.8658 0.3587
H 0.4416 0.8335 0.6981
H 0.8779 0.7348 0.8876



No. 2
Compound: Li2ReH6
Source: Alexandria
Functional: PBE
Structure: optimized geometry

energy above the most stable polymorph in this dataset = 0 meV/atom
calculated volume = 9.7 A^3/atom
symmetry = P4/mnc

Lattice parameters (Å, degrees): 5.1390 5.1390 6.5989 90.00 90.00 90.00
Atoms (fractional coordinates):
Li 0.0000 0.5000 0.2500
Li 0.5000 0.0000 0.2500
Li 0.5000 0.0000 0.7500
Li 0.0000 0.5000 0.7500
Re 0.0000 0.0000 0.0000
Re 0.5000 0.5000 0.5000
H 0.3632 0.1850 0.5000
H 0.6368 0.8150 0.5000
H 0.6850 0.8632 0.0000
H 0.1850 0.6368 0.5000
H 0.8150 0.3632 0.5000
H 0.1368 0.6850 0.0000
H 0.0000 0.0000 0.2680
H 0.5000 0.5000 0.2320
H 0.0000 0.0000 0.7320
H 0.5000 0.5000 0.7680
H 0.3150 0.1368 0.0000
H 0.8632 0.3150 0.0000



No. 3
Compound: Li2ReH
Source: Alexandria
Functional: PBE
Structure: optimized geometry

energy above the most stable polymorph in this dataset = 0 meV/atom
calculated volume = 9.7 A^3/atom
symmetry = Fd-3m

Lattice parameters (Å, degrees): 4.7797 4.7797 4.7811 60.01 60.01 90.00
Atoms (fractional coordinates):
Re 0.0000 0.0000 0.0000
Re 0.7500 0.2500 0.5000
H 0.5000 0.5000 0.0000
H 0.2500 0.7500 0.5000
Li 0.3746 0.1250 0.2500
Li 0.3754 0.6250 0.2500
Li 0.3750 0.6254 0.7500
Li 0.8750 0.6246 0.7500



No. 4
Compound: Li3ReH7
Source: Alexandria
Functional: PBE
Structure: optimized geometry

E = -3.9966 eV/atom
calculated volume = 7.6 A^3/atom
symmetry = Cm

Lattice parameters (Å, degrees): 4.9925 4.9925 4.4101 64.64 64.64 96.13
Atoms (fractional coordinates):
Li 0.7402 0.2259 0.5380
Li 0.4816 0.4816 0.0701
Li 0.2259 0.7402 0.5380
Re 0.9340 0.9340 0.0809
H 0.1891 0.1891 0.0817
H 0.6461 0.1012 0.1944
H 0.0419 0.2951 0.6914
H 0.1012 0.6461 0.1944
H 0.5938 0.5938 0.4238
H 0.2951 0.0419 0.6914
H 0.8761 0.8761 0.7459



Question: What is the calculated volume in the second record?
Answer: 9.7 A^3/atom



Please write out number 4 again, unchanged.
Compound: Li3ReH7
Source: Alexandria
Functional: PBE
Structure: optimized geometry

E = -3.9966 eV/atom
calculated volume = 7.6 A^3/atom
symmetry = Cm

Lattice parameters (Å, degrees): 4.9925 4.9925 4.4101 64.64 64.64 96.13
Atoms (fractional coordinates):
Li 0.7402 0.2259 0.5380
Li 0.4816 0.4816 0.0701
Li 0.2259 0.7402 0.5380
Re 0.9340 0.9340 0.0809
H 0.1891 0.1891 0.0817
H 0.6461 0.1012 0.1944
H 0.0419 0.2951 0.6914
H 0.1012 0.6461 0.1944
H 0.5938 0.5938 0.4238
H 0.2951 0.0419 0.6914
H 0.8761 0.8761 0.7459



Question: Look up the calculated volume of the fourth one.
Answer: 7.6 A^3/atom